i) Density functional theory data (PBE) for crystalline Dy4YLu2Ni2Te2 at its relaxed geometry. Values from VASP.

```
&SYSTEM
  ibrav = 0, nat = 11, ntyp = 5
/
ATOMIC_SPECIES
Dy 162.50 Dy.upf
Y 88.91 Y.upf
Lu 174.97 Lu.upf
Ni 58.69 Ni.upf
Te 127.60 Te.upf
CELL_PARAMETERS angstrom
-1.922 7.781 4.740
1.922 -7.781 4.740
1.922 7.781 -4.740
ATOMIC_POSITIONS crystal
Dy 0.147 0.000 0.147
Dy 0.168 0.353 0.815
Dy 0.538 0.353 0.185
Dy 0.853 0.000 0.853
Y 0.232 0.732 0.500
Lu 0.515 0.149 0.366
Lu 0.782 0.149 0.634
Ni 0.401 0.660 0.740
Ni 0.920 0.660 0.260
Te 0.501 0.501 0.000
Te 0.891 0.391 0.500
```

Total magnetization = 0.01 Bohr magnetons per cell
Crystal system = orthorhombic
V = 25.778 A^3/atom

=====

ii) Density functional theory data (PBE) for crystalline Dy4YLu2Ni2Te2 at its relaxed geometry. Values from VASP.

```
&SYSTEM
  ibrav = 0, nat = 11, ntyp = 5
/
ATOMIC_SPECIES
Dy 162.50 Dy.upf
Y 88.91 Y.upf
Lu 174.97 Lu.upf
Ni 58.69 Ni.upf
Te 127.60 Te.upf
CELL_PARAMETERS angstrom
-1.924 7.773 4.761
1.924 -7.773 4.761
1.924 7.773 -4.761
ATOMIC_POSITIONS crystal
Dy 0.133 0.000 0.133
Dy 0.204 0.852 0.352
Dy 0.500 0.852 0.648
Dy 0.867 0.000 0.867
Y 0.583 0.583 0.000
Lu 0.518 0.203 0.315
Lu 0.888 0.203 0.685
Ni 0.275 0.513 0.763
Ni 0.750 0.513 0.237
Te 0.247 0.247 0.000
Te 0.846 0.346 0.500
```

Total magnetization = 0.01 Bohr magnetons per cell
Crystal system = orthorhombic
V = 25.887 A^3/atom

=====

ii) comes first in stability; the runner-up is 13 meV per atom higher.

=====

i) Density functional theory data (PBE) for crystalline Dy3Lu3Te2Os at its relaxed geometry. Values from VASP.

```
&SYSTEM
  ibrav = 0, nat = 9, ntyp = 4
/
ATOMIC_SPECIES
Dy 162.50 Dy.upf
Lu 174.97 Lu.upf
Te 127.60 Te.upf
Os 190.23 Os.upf
CELL_PARAMETERS angstrom
8.177 0.000 0.000
-4.088 7.081 0.000
0.000 0.000 4.049
ATOMIC_POSITIONS crystal
Dy 0.000 0.611 0.000
Dy 0.389 0.389 0.000
Dy 0.611 0.000 0.000
Lu 0.000 0.236 0.500
Lu 0.236 0.000 0.500
Lu 0.764 0.764 0.500
Te 0.333 0.667 0.500
Te 0.667 0.333 0.500
Os 0.000 0.000 0.000
```

Total magnetization = 0.01 Bohr magnetons per cell
Crystal system = hexagonal
V = 26.052 A^3/atom

=====

ii) Density functional theory data (PBE) for crystalline Dy3Lu3Te2Os at its relaxed geometry. Values from VASP.

```
&SYSTEM
  ibrav = 0, nat = 9, ntyp = 4
/
ATOMIC_SPECIES
Dy 162.50 Dy.upf
Lu 174.97 Lu.upf
Te 127.60 Te.upf
Os 190.23 Os.upf
CELL_PARAMETERS angstrom
8.233 0.000 0.000
-4.117 7.130 0.000
0.000 0.000 4.016
ATOMIC_POSITIONS crystal
Dy 0.000 0.243 0.000
Dy 0.243 0.000 0.000
Dy 0.757 0.757 0.000
Lu 0.000 0.617 0.500
Lu 0.383 0.383 0.500
Lu 0.617 0.000 0.500
Te 0.333 0.667 0.000
Te 0.667 0.333 0.000
Os 0.000 0.000 0.500
```

Total magnetization = 0.02 Bohr magnetons per cell
Crystal system = hexagonal
V = 26.194 A^3/atom

=====

i) comes first in stability; the runner-up is 89 meV per atom higher.

=====

i) Density functional theory data (PBE) for crystalline DyLuPd at its relaxed geometry. Values from VASP.

```
&SYSTEM
  ibrav = 0, nat = 12, ntyp = 3
/
ATOMIC_SPECIES
Dy 162.50 Dy.upf
Lu 174.97 Lu.upf
Pd 106.42 Pd.upf
CELL_PARAMETERS angstrom
7.021 0.000 0.000
0.000 4.816 0.000
0.000 0.000 8.647
ATOMIC_POSITIONS crystal
Dy 0.016 0.250 0.173
Dy 0.484 0.750 0.673
Dy 0.516 0.250 0.327
Dy 0.984 0.750 0.827
Lu 0.143 0.250 0.579
Lu 0.357 0.750 0.079
Lu 0.643 0.250 0.921
Lu 0.857 0.750 0.421
Pd 0.245 0.250 0.906
Pd 0.255 0.750 0.406
Pd 0.745 0.250 0.594
Pd 0.755 0.750 0.094
```

Total magnetization = 0.01 Bohr magnetons per cell
Crystal system = orthorhombic
V = 24.364 A^3/atom

=====

ii) Density functional theory data (PBE) for crystalline DyLuPd at its relaxed geometry. Values from VASP.

```
&SYSTEM
  ibrav = 0, nat = 12, ntyp = 3
/
ATOMIC_SPECIES
Dy 162.50 Dy.upf
Lu 174.97 Lu.upf
Pd 106.42 Pd.upf
CELL_PARAMETERS angstrom
6.972 0.000 0.000
0.000 4.825 0.000
0.000 0.000 8.721
ATOMIC_POSITIONS crystal
Dy 0.147 0.250 0.081
Dy 0.353 0.750 0.581
Dy 0.647 0.250 0.419
Dy 0.853 0.750 0.919
Lu 0.014 0.250 0.672
Lu 0.486 0.750 0.172
Lu 0.514 0.250 0.828
Lu 0.986 0.750 0.328
Pd 0.233 0.250 0.404
Pd 0.267 0.750 0.904
Pd 0.733 0.250 0.096
Pd 0.767 0.750 0.596
```

Total magnetization = 0.02 Bohr magnetons per cell
Crystal system = orthorhombic
V = 24.445 A^3/atom

=====

i) comes first in stability; the runner-up is 18 meV per atom higher.

=====

i) Density functional theory data (PBE) for crystalline DyLuSi2Pd at its relaxed geometry. Values from VASP.

```
&SYSTEM
  ibrav = 0, nat = 10, ntyp = 4
/
ATOMIC_SPECIES
Dy 162.50 Dy.upf
Lu 174.97 Lu.upf
Si 28.09 Si.upf
Pd 106.42 Pd.upf
CELL_PARAMETERS angstrom
5.198 -2.107 0.000
5.198 2.107 0.000
-4.615 0.000 8.836
ATOMIC_POSITIONS crystal
Dy 0.186 0.186 0.107
Dy 0.814 0.814 0.893
Lu 0.003 0.003 0.326
Lu 0.997 0.997 0.674
Si 0.369 0.369 0.434
Si 0.481 0.481 0.116
Si 0.519 0.519 0.884
Si 0.631 0.631 0.566
Pd 0.275 0.275 0.637
Pd 0.725 0.725 0.363
```

Total magnetization = 0.77 Bohr magnetons per cell
Crystal system = monoclinic
V = 19.356 A^3/atom

=====

ii) Density functional theory data (PBE) for crystalline DyLuSi2Pd at its relaxed geometry. Values from VASP.

```
&SYSTEM
  ibrav = 0, nat = 10, ntyp = 4
/
ATOMIC_SPECIES
Dy 162.50 Dy.upf
Lu 174.97 Lu.upf
Si 28.09 Si.upf
Pd 106.42 Pd.upf
CELL_PARAMETERS angstrom
5.172 -2.121 0.000
5.172 2.121 0.000
-4.754 0.000 8.855
ATOMIC_POSITIONS crystal
Dy 0.001 0.001 0.322
Dy 0.999 0.999 0.678
Lu 0.185 0.185 0.106
Lu 0.815 0.815 0.894
Si 0.366 0.366 0.434
Si 0.479 0.479 0.111
Si 0.521 0.521 0.889
Si 0.634 0.634 0.566
Pd 0.276 0.276 0.644
Pd 0.724 0.724 0.356
```

Total magnetization = 0.78 Bohr magnetons per cell
Crystal system = monoclinic
V = 19.426 A^3/atom

=====

i) comes first in stability; the runner-up is 8 meV per atom higher.